Below is a relaxed structure of SrLiPm2, with properties calculated at the GGA-PBE level.

Cell and atoms, written as POSCAR:
```
SrLiPm2
1.0
-3.135 -0.520 1.685
-2.896 -1.034 -1.867
1.024 -12.522 1.881
Sr Li Pm
1 1 2
Cartesian
0.000 0.000 0.000
-2.504 -7.038 0.850
0.153 -9.077 1.324
-5.161 -4.998 0.375
```

Properties
excess energy over the best structure of this formula in the dataset	129.5	meV per atom

Below is a relaxed structure of CeScPtPb, with properties calculated at the GGA-PBE level.

Cell and atoms, written as POSCAR:
```
CeScPtPb
1.0
-0.183 -3.128 -4.070
4.279 -2.306 -1.661
0.597 -5.063 0.624
Pb Sc Ce Pt
1 1 1 1
Cartesian
1.173 -2.624 -1.277
2.346 -5.249 -2.553
0.000 0.000 0.000
3.519 -7.873 -3.830
```

| no. | formation energy from the elements (eV per atom) | DOS(E_F) (states/eV per cell) |
| --- | --- | --- |
| 1 | 0.304 | 4.6 |
| 2 | -0.573 | 7.8 |